1.
{
  "formula": "RbTlCdPb2",
  "functional": "PBE",
  "state": "relaxed",
  "e_form_ev_per_fu": 4.4,
  "lattice": [[6.336, 0.000, 0.000], [0.000, 6.336, 0.000], [0.000, 0.000, 6.204]],
  "species": ["Rb", "Tl", "Cd", "Pb", "Pb"],
  "frac_coords": [[0.000, 0.000, 0.000], [0.500, 0.500, 0.500], [0.000, 0.000, 0.500], [0.000, 0.500, 0.000], [0.500, 0.000, 0.000]]
}


2.
{
  "formula": "ScWCl2",
  "functional": "PBE",
  "state": "relaxed",
  "raw_formation_energy_mev_per_atom": 340,
  "lattice": [[4.434, 0.000, 0.000], [0.000, 4.434, 0.000], [0.000, 0.000, 3.248]],
  "species": ["Sc", "W", "Cl", "Cl"],
  "frac_coords": [[0.000, 0.000, 0.000], [0.500, 0.500, 0.000], [0.000, 0.500, 0.500], [0.500, 0.000, 0.500]]
}


3.
{
  "formula": "CoRuSe",
  "functional": "PBE",
  "state": "relaxed",
  "raw_formation_energy_mev_per_atom": 605,
  "lattice": [[2.901, 0.000, 0.000], [0.000, 4.820, 0.000], [0.000, 0.000, 12.713]],
  "species": ["Co", "Co", "Co", "Co", "Ru", "Ru", "Ru", "Ru", "Se", "Se", "Se", "Se"],
  "frac_coords": [[0.000, 0.000, 0.000], [0.000, 0.500, 0.500], [0.500, 0.000, 0.500], [0.500, 0.500, 0.000], [0.000, 0.000, 0.655], [0.000, 0.500, 0.155], [0.500, 0.000, 0.155], [0.500, 0.500, 0.655], [0.000, 0.000, 0.336], [0.000, 0.500, 0.836], [0.500, 0.000, 0.836], [0.500, 0.500, 0.336]]
}


4.
{
  "formula": "HoB2C2",
  "functional": "PBE",
  "state": "relaxed",
  "e_form_ev_per_fu": -1.5,
  "lattice": [[3.792, 0.000, 0.000], [0.000, 3.792, 0.000], [0.000, 0.000, 7.147]],
  "species": ["Ho", "Ho", "B", "B", "B", "B", "C", "C", "C", "C"],
  "frac_coords": [[0.000, 0.000, 0.250], [0.000, 0.000, 0.750], [0.215, 0.500, 0.000], [0.500, 0.215, 0.500], [0.500, 0.785, 0.500], [0.785, 0.500, 0.000], [0.188, 0.500, 0.500], [0.500, 0.188, 0.000], [0.500, 0.812, 0.000], [0.812, 0.500, 0.500]]
}


5.
{
  "formula": "Sr2BeCu",
  "functional": "PBE",
  "state": "relaxed",
  "e_form_ev_per_fu": 2.0,
  "lattice": [[7.221, 0.000, 0.000], [0.000, 7.221, 0.000], [0.000, 0.000, 7.221]],
  "species": ["Sr", "Sr", "Sr", "Sr", "Sr", "Sr", "Sr", "Sr", "Be", "Be", "Be", "Be", "Cu", "Cu", "Cu", "Cu"],
  "frac_coords": [[0.000, 0.000, 0.000], [0.000, 0.500, 0.500], [0.250, 0.250, 0.250], [0.250, 0.750, 0.750], [0.500, 0.000, 0.500], [0.500, 0.500, 0.000], [0.750, 0.250, 0.750], [0.750, 0.750, 0.250], [0.250, 0.250, 0.750], [0.250, 0.750, 0.250], [0.750, 0.250, 0.250], [0.750, 0.750, 0.750], [0.000, 0.000, 0.500], [0.000, 0.500, 0.000], [0.500, 0.000, 0.000], [0.500, 0.500, 0.500]]
}


6.
{
  "formula": "La6Pd2RhN",
  "functional": "PBE",
  "state": "relaxed",
  "raw_formation_energy_mev_per_atom": -745,
  "lattice": [[6.844, 0.000, 0.000], [0.000, 7.621, 0.000], [-6.747, 0.000, 10.452]],
  "species": ["La", "La", "La", "La", "La", "La", "La", "La", "La", "La", "La", "La", "Pd", "Pd", "Pd", "Pd", "Rh", "Rh", "N", "N"],
  "frac_coords": [[0.098, 0.198, 0.438], [0.098, 0.302, 0.938], [0.247, 0.670, 0.437], [0.247, 0.830, 0.937], [0.367, 0.040, 0.238], [0.367, 0.460, 0.738], [0.633, 0.540, 0.262], [0.633, 0.960, 0.762], [0.753, 0.170, 0.063], [0.753, 0.330, 0.563], [0.902, 0.698, 0.062], [0.902, 0.802, 0.562], [0.190, 0.102, 0.742], [0.190, 0.398, 0.242], [0.810, 0.602, 0.758], [0.810, 0.898, 0.258], [0.500, 0.000, 0.500], [0.500, 0.500, 0.000], [0.000, 0.000, 0.000], [0.000, 0.500, 0.500]]
}


7.
{
  "formula": "Mg4Tl",
  "functional": "PBE",
  "state": "relaxed",
  "e_form_ev_per_fu": 0.4,
  "lattice": [[5.763, 0.000, 0.000], [0.000, 5.763, 0.000], [0.000, 0.000, 7.541]],
  "species": ["Mg", "Mg", "Mg", "Mg", "Mg", "Mg", "Mg", "Mg", "Tl", "Tl"],
  "frac_coords": [[0.105, 0.247, 0.346], [0.247, 0.895, 0.654], [0.253, 0.395, 0.846], [0.395, 0.747, 0.154], [0.605, 0.253, 0.154], [0.747, 0.605, 0.846], [0.753, 0.105, 0.654], [0.895, 0.753, 0.346], [0.000, 0.000, 0.000], [0.500, 0.500, 0.500]]
}


8.
{
  "formula": "AcBRh2",
  "functional": "PBE",
  "state": "relaxed",
  "e_form_ev_per_fu": 1.0,
  "lattice": [[3.048, 0.000, 0.000], [0.000, 3.048, 0.000], [0.000, 0.000, 7.112]],
  "species": ["Ac", "B", "Rh", "Rh"],
  "frac_coords": [[0.000, 0.000, 0.000], [0.000, 0.000, 0.500], [0.500, 0.500, 0.323], [0.500, 0.500, 0.677]]
}